Computed, not measured: crystalline Ba2MgFe2O6 at its relaxed geometry at the PBE with a Hubbard U level of DFT.

abc: 5.9522 5.9522 6.5339
angles: 62.90 62.90 60.00
Fractional coordinates of all 11 atoms:
O1 0.2401 0.2401 0.7550
O2 0.7649 0.2401 0.7550
O3 0.2401 0.7649 0.7550
O4 0.7599 0.2351 0.2450
O5 0.7599 0.7599 0.2450
O6 0.2351 0.7599 0.2450
Mg1 0.0000 0.0000 0.0000
Fe1 0.4241 0.4241 0.7277
Fe2 0.5759 0.5759 0.2723
Ba1 0.7815 0.7815 0.6556
Ba2 0.2185 0.2185 0.3444

Final energy   -67.67 eV/cell
Volume   170.5 Å³/cell